(1)
DFT (PBE) results for a geometry-optimized Pm12Al5N3 structure.

```
80
Lattice="-8.4513 8.4513 8.4513 8.4513 -8.4513 8.4513 8.4513 8.4513 -8.4513" Properties=species:S:1:pos:R:3 pbc="T T T"
Pm 8.1523 -1.8096 2.3569
Pm 12.9759 -1.8687 2.4161
Pm 2.3569 -0.2990 1.8096
Pm 10.3200 6.0352 -4.5246
Pm 1.8096 2.3569 -0.2990
Pm 10.8673 3.9267 -1.8687
Pm 10.8082 0.2990 1.8096
Pm 10.3200 -2.4161 4.5246
Pm 6.0352 4.5246 -1.8687
Pm 6.6417 2.3569 0.2990
Pm -0.2990 1.8096 2.3569
Pm 4.5246 -1.8687 6.0352
Pm 8.1523 6.6417 -2.3569
Pm 4.5246 1.8687 2.4161
Pm 6.6417 -2.3569 8.1523
Pm 6.0352 -4.5246 10.3200
Pm 2.3569 8.1523 -1.8096
Pm 10.3200 2.4161 3.9267
Pm 2.4161 4.5246 1.8687
Pm 10.2609 6.0944 0.2990
Pm 1.8687 2.4161 4.5246
Pm 2.3569 0.2990 6.6417
Pm 4.5246 10.3200 -2.4161
Pm 8.1523 1.8096 6.0944
Pm 0.2990 6.6417 2.3569
Pm 3.9267 -1.8687 10.8673
Pm 6.0944 8.1523 1.8096
Pm 6.5826 6.0352 3.9267
Pm -1.8096 2.3569 8.1523
Pm 6.0352 3.9267 6.5826
Pm -1.8687 6.0352 4.5246
Pm 6.0944 0.2990 10.2609
Pm 2.4161 12.9759 -1.8687
Pm 1.8096 10.8082 0.2990
Pm 3.9267 6.5826 6.0352
Pm 0.2990 1.8096 10.8082
Pm 3.9267 10.3200 2.4161
Pm 8.7503 6.6417 6.0944
Pm 1.8096 6.0944 8.1523
Pm 2.4161 3.9267 10.3200
Pm -1.8687 10.8673 3.9267
Pm -2.3569 8.1523 6.6417
Pm -2.4161 4.5246 10.3200
Pm 6.6417 6.0944 8.7503
Pm -1.8687 2.4161 12.9759
Pm 6.0944 8.7503 6.6417
Pm -4.5246 10.3200 6.0352
Pm 0.2990 10.2609 6.0944
Al 0.0000 0.0000 0.0000
Al 4.2256 4.2256 -4.2256
Al 4.2256 -4.2256 4.2256
Al 8.4513 0.0000 0.0000
Al 12.6769 2.1128 0.0000
Al 8.4513 -4.2256 6.3385
Al 6.3385 8.4513 -4.2256
Al 6.3385 0.0000 4.2256
Al 4.2256 6.3385 0.0000
Al 8.4513 4.2256 2.1128
Al -4.2256 4.2256 4.2256
Al 0.0000 8.4513 0.0000
Al 0.0000 0.0000 8.4513
Al 4.2256 4.2256 4.2256
Al 0.0000 4.2256 6.3385
Al 4.2256 2.1128 8.4513
Al 2.1128 8.4513 4.2256
Al 2.1128 0.0000 12.6769
Al 0.0000 12.6769 2.1128
Al -4.2256 6.3385 8.4513
N 4.2256 2.1128 0.0000
N 8.4513 4.2256 -2.1128
N 2.1128 0.0000 4.2256
N 10.5641 0.0000 4.2256
N 0.0000 4.2256 2.1128
N 4.2256 -2.1128 8.4513
N 4.2256 10.5641 0.0000
N 8.4513 4.2256 6.3385
N -2.1128 8.4513 4.2256
N 6.3385 8.4513 4.2256
N 0.0000 4.2256 10.5641
N 4.2256 6.3385 8.4513
```

Properties
Spin magnetization (μB/f.u.): 0.00
Space group: Ia-3d (230)
ρ (g cm⁻³): 5.27
Raw formation energy (eV/atom): 0.315

---

(2)
DFT (PBE) results for a geometry-optimized CaTc3Se structure.

```
5
Lattice="4.6436 0.0000 0.0000 0.0000 4.6436 0.0000 0.0000 0.0000 4.6436" Properties=species:S:1:pos:R:3 pbc="T T T"
Ca 0.0000 0.0000 0.0000
Tc 0.0000 2.3218 2.3218
Tc 2.3218 0.0000 2.3218
Tc 2.3218 2.3218 0.0000
Se 2.3218 2.3218 2.3218
```

Properties
Spin magnetization (μB/f.u.): 2.19
Space group: Pm-3m (221)
ρ (g cm⁻³): 6.85
Raw formation energy (eV/atom): 0.694

---

(3)
DFT (PBE) results for a geometry-optimized PmAl2Ru structure.

```
8
Lattice="2.0537 -5.2096 0.0000 2.0537 5.2096 0.0000 0.0000 0.0000 7.4011" Properties=species:S:1:pos:R:3 pbc="T T T"
Pm 2.0537 4.5599 5.5509
Pm 2.0537 -4.5599 1.8503
Al 2.0537 1.6665 4.1074
Al 2.0537 1.6665 6.9943
Al 2.0537 -1.6665 0.4068
Al 2.0537 -1.6665 3.2938
Ru 2.0537 2.9679 1.8503
Ru 2.0537 -2.9679 5.5509
```

Properties
Spin magnetization (μB/f.u.): 0.00
Space group: Cmcm (63)
ρ (g cm⁻³): 6.29
Formation enthalpy at 0 K (eV/atom): -0.551

---

(4)
DFT (PBE) results for a geometry-optimized Zr2Sn3 structure.

```
5
Lattice="5.2755 -2.0805 0.0000 5.2755 2.0805 0.0000 -4.7166 0.0000 5.3065" Properties=species:S:1:pos:R:3 pbc="T T T"
Zr -0.8549 0.0000 1.8665
Zr 6.6894 0.0000 3.4400
Sn 2.1657 0.0000 1.2832
Sn 5.2755 0.0000 0.0000
Sn 3.6688 0.0000 4.0233
```

Properties
Spin magnetization (μB/f.u.): 0.00
Space group: C2/m (12)
ρ (g cm⁻³): 7.68
Formation enthalpy at 0 K (eV/atom): -0.386

---

(5)
DFT (PBE) results for a geometry-optimized Li2Ca3Hg7 structure.

```
12
Lattice="4.7498 0.0000 0.0000 0.0000 4.4405 0.0000 -2.0901 0.0000 14.3068" Properties=species:S:1:pos:R:3 pbc="T T T"
Li 0.0451 0.0000 3.7934
Li 2.6147 0.0000 10.5134
Ca 0.0000 0.0000 0.0000
Ca 0.2001 2.2202 9.1943
Ca 2.4596 2.2202 5.1125
Hg 0.0299 2.2202 2.3887
Hg 0.1404 0.0000 6.3429
Hg 0.2456 0.0000 11.8510
Hg 2.3749 2.2202 0.0000
Hg 2.4142 0.0000 2.4558
Hg 2.5194 0.0000 7.9639
Hg 2.6298 2.2202 11.9181
```

Properties
Spin magnetization (μB/f.u.): 0.00
Space group: P2/m (10)
ρ (g cm⁻³): 8.46
Formation enthalpy at 0 K (eV/atom): -0.366

---

(6)
DFT (PBE) results for a geometry-optimized Sr2YSi3Au12 structure.

```
18
Lattice="4.4556 2.5724 6.4332 -4.4556 2.5724 6.4332 0.0000 -5.1449 6.4332" Properties=species:S:1:pos:R:3 pbc="T T T"
Sr 0.0000 0.0000 1.8963
Sr 0.0000 0.0000 17.4032
Y 0.0000 0.0000 9.6497
Si -2.2278 -1.2862 6.4332
Si -2.2278 1.2862 12.8663
Si 0.0000 2.5724 6.4331
Au -2.3913 -1.3806 8.8975
Au 0.0000 -2.3142 6.4925
Au -2.0041 1.1571 6.4925
Au 0.0000 -2.7612 10.4019
Au -2.3913 1.3806 10.4019
Au -2.0041 -1.1571 12.8070
Au 2.0041 1.1571 6.4925
Au 2.3913 -1.3806 8.8975
Au 0.0000 2.7613 8.8975
Au 2.0041 -1.1571 12.8070
Au 0.0000 2.3142 12.8070
Au 2.3913 1.3806 10.4019
```

Properties
Spin magnetization (μB/f.u.): 0.00
Space group: R-3m (166)
ρ (g cm⁻³): 10.18
Raw formation energy (eV/atom): -0.202

---

(7)
DFT (PBE) results for a geometry-optimized AcCu3Ru4O12 structure.

```
20
Lattice="-3.7889 3.7889 3.7889 3.7889 -3.7889 3.7889 3.7889 3.7889 -3.7889" Properties=species:S:1:pos:R:3 pbc="T T T"
Ac 0.0000 0.0000 0.0000
Cu 3.7889 0.0000 0.0000
Cu 0.0000 3.7889 0.0000
Cu 0.0000 0.0000 3.7889
Ru 1.8945 1.8945 -1.8945
Ru 1.8945 -1.8945 1.8945
Ru -1.8945 1.8945 1.8945
Ru 1.8945 1.8945 1.8945
O 3.7889 2.4740 -1.4451
O 2.3438 0.0000 1.3150
O 5.2340 0.0000 1.3150
O 1.3150 2.3438 0.0000
O 2.4740 -1.4451 3.7889
O 0.0000 1.3150 2.3438
O 3.7889 2.4740 1.4451
O 1.3150 5.2340 0.0000
O 2.4740 1.4451 3.7889
O -1.4451 3.7889 2.4740
O 1.4451 3.7889 2.4740
O 0.0000 1.3150 5.2340
```

Properties
Spin magnetization (μB/f.u.): 3.66
Space group: Im-3 (204)
ρ (g cm⁻³): 7.74
Raw formation energy (eV/atom): -1.131

---

(8)
DFT (PBE) results for a geometry-optimized SiSe structure.

```
6
Lattice="3.6649 0.0000 0.0000 0.0000 4.5453 4.0671 0.0000 -4.5453 4.0671" Properties=species:S:1:pos:R:3 pbc="T T T"
Si 0.0000 0.0000 0.0000
Si 1.8324 -2.3488 2.7978
Si 1.8324 2.3488 2.7978
Se 0.0000 -1.7979 4.3576
Se 0.0000 1.7979 4.3576
Se 1.8324 0.0000 1.7657
```

Properties
Spin magnetization (μB/f.u.): 0.00
Space group: Amm2 (38)
ρ (g cm⁻³): 3.94
Raw formation energy (eV/atom): 0.087

---

(9)
DFT (PBE) results for a geometry-optimized Sr3CaSi structure.

```
5
Lattice="6.1717 0.0000 0.0000 0.0000 6.1717 0.0000 0.0000 0.0000 6.1717" Properties=species:S:1:pos:R:3 pbc="T T T"
Sr 0.0000 0.0000 3.0859
Sr 0.0000 3.0859 0.0000
Sr 3.0859 0.0000 0.0000
Ca 3.0859 3.0859 3.0859
Si 0.0000 0.0000 0.0000
```

Properties
Spin magnetization (μB/f.u.): 1.73
Space group: Pm-3m (221)
ρ (g cm⁻³): 2.34
Raw formation energy (eV/atom): -0.061

---

(10)
DFT (PBE) results for a geometry-optimized YAg2Mo structure.

```
8
Lattice="-2.0476 2.0476 10.3516 2.0476 -2.0476 10.3516 2.0476 2.0476 -10.3516" Properties=species:S:1:pos:R:3 pbc="T T T"
Y 0.0000 0.0000 0.0000
Y 0.0000 2.0476 5.1758
Ag 1.0238 -0.9532 7.7637
Ag 1.0944 1.0238 2.5879
Ag 1.0238 3.0008 -2.5879
Ag 0.9532 1.0238 12.9395
Mo 2.0476 0.0000 5.1758
Mo 0.0000 0.0000 10.3516
```

Properties
Spin magnetization (μB/f.u.): 1.78
Space group: I-42d (122)
ρ (g cm⁻³): 7.66
Formation enthalpy at 0 K (eV/atom): 0.701

---

(11)
DFT (PBE) results for a geometry-optimized Ac2La3ErSe6 structure.

```
12
Lattice="3.7455 -6.4996 0.0000 3.7455 6.4996 0.0000 -2.5207 0.0000 7.0336" Properties=species:S:1:pos:R:3 pbc="T T T"
Ac 3.7455 4.3466 0.0000
Ac 3.7455 -4.3466 0.0000
La -1.2604 0.0000 3.5168
La 2.4852 2.2570 3.5168
La 2.4852 -2.2570 3.5168
Er 3.7455 0.0000 0.0000
Se 0.0564 2.0494 5.3088
Se 1.3881 0.0000 1.7776
Se 0.0564 -2.0494 5.3088
Se 4.9139 2.0494 1.7248
Se 3.5822 0.0000 5.2560
Se 4.9139 -2.0494 1.7248
```

Properties
Spin magnetization (μB/f.u.): 0.00
Space group: C2/m (12)
ρ (g cm⁻³): 7.33
Raw formation energy (eV/atom): -1.888

---

(12)
DFT (PBE) results for a geometry-optimized PmPaIn structure.

```
3
Lattice="5.3550 0.0000 0.0000 -2.6775 4.6375 0.0000 0.0000 0.0000 3.1365" Properties=species:S:1:pos:R:3 pbc="T T T"
Pm 0.0000 0.0000 0.0000
Pa 0.0000 3.0917 0.0085
In 2.6775 1.5458 1.5743
```

Properties
Spin magnetization (μB/f.u.): 0.20
Space group: P3m1 (156)
ρ (g cm⁻³): 10.46
Formation enthalpy at 0 K (eV/atom): 0.159